Au2Cl | PBE | optimized geometry

Values from the calculation:
N(E_F) in states/eV per atom: 0.515
Calculated density in g/cm³: 10.31
M_tot in μB per cell: 0.000
Energy relative to the elements, uncorrected in eV per atom: 0.57
Total DFT energy (no corrections) in eV/cell: -26.8

abc: 6.5160 6.5160 6.5160
angles: 90.00 90.00 90.00
Positions (direct):
Au 0.3788 0.3788 0.6212
Au 0.1212 0.6212 0.1212
Au 0.1212 0.8788 0.6212
Au 0.6212 0.6212 0.3788
Au 0.3788 0.1212 0.1212
Au 0.8788 0.3788 0.8788
Au 0.6212 0.8788 0.8788
Au 0.8788 0.1212 0.3788
Cl 0.0000 0.0000 0.0000
Cl 0.5000 0.0000 0.5000
Cl 0.5000 0.5000 0.0000
Cl 0.0000 0.5000 0.5000

=====

Au2Cl | PBE | optimized geometry

Values from the calculation:
N(E_F) in states/eV per atom: 1.273
Calculated density in g/cm³: 11.33
M_tot in μB per cell: 0.000
Energy relative to the elements, uncorrected in eV per atom: 0.33
Total DFT energy (no corrections) in eV/cell: -14.8

abc: 5.6253 5.6253 5.6253
angles: 60.00 60.00 60.00
Positions (direct):
Cl 0.7500 0.7500 0.7500
Cl 0.5000 0.5000 0.5000
Au 0.1250 0.1250 0.1250
Au 0.1250 0.6250 0.1250
Au 0.6250 0.1250 0.1250
Au 0.1250 0.1250 0.6250

=====

AuCl | PBE | optimized geometry

Values from the calculation:
N(E_F) in states/eV per atom: 0.499
Calculated density in g/cm³: 6.94
M_tot in μB per cell: 0.000
Energy relative to the elements, uncorrected in eV per atom: -0.11
Total DFT energy (no corrections) in eV/cell: -16.1

abc: 7.7217 7.7217 6.9007
angles: 63.81 63.81 27.07
Positions (direct):
Au 0.4511 0.4511 0.3093
Au 0.6599 0.6599 0.1015
Au 0.0548 0.0548 0.9827
Cl 0.8528 0.8528 0.5530
Cl 0.5552 0.5552 0.7405
Cl 0.2595 0.2595 0.1463